Entry from Alexandria via LeMat-Bulk: crystalline Zr2Ti5ZnNi2 at its relaxed geometry (GGA-PBE).

**E_tot**: -0.524 Ry per atom
**ρ**: 5.87 g/cm³

a b c (Å): 3.1609 10.3992 10.3992
angles (deg): 90.00 90.00 90.00
Closest atoms and distances in Å follow each position.
Fractional coordinates of all 20 atoms:
Ni (0.0000, 0.8737, 0.3737)  6 Ti 2.44-2.47
Ni (0.0000, 0.3737, 0.1263)  6 Ti 2.44-2.47
Ni (0.0000, 0.1263, 0.6263)  6 Ti 2.44-2.47
Ni (0.0000, 0.6263, 0.8737)  6 Ti 2.44-2.47
Zr (0.0000, 0.1767, 0.3233)  3 Ni 2.90-3.19, 10 Ti 3.04-3.19, 2 Zr 3.16
Zr (0.0000, 0.3233, 0.8233)  3 Ni 2.90-3.19, 10 Ti 3.04-3.19, 2 Zr 3.16
Zr (0.0000, 0.6767, 0.1767)  3 Ni 2.90-3.19, 10 Ti 3.04-3.19, 2 Zr 3.16
Zr (0.0000, 0.8233, 0.6767)  3 Ni 2.90-3.19, 10 Ti 3.04-3.19, 2 Zr 3.16
Zn (0.0000, 0.0000, 0.0000)  8 Ti 2.71
Zn (0.0000, 0.5000, 0.5000)  8 Ti 2.71
Ti (0.5000, 0.9413, 0.2040)  2 Ni 2.47, 2 Zn 2.71
Ti (0.5000, 0.5587, 0.7040)  2 Ni 2.47, 2 Zn 2.71
Ti (0.5000, 0.0000, 0.5000)  4 Ni 2.44
Ti (0.5000, 0.5000, 0.0000)  4 Ni 2.44
Ti (0.5000, 0.2040, 0.0587)  2 Ni 2.47, 2 Zn 2.71
Ti (0.5000, 0.7960, 0.9413)  2 Ni 2.47, 2 Zn 2.71
Ti (0.5000, 0.2960, 0.5587)  2 Ni 2.47, 2 Zn 2.71
Ti (0.5000, 0.7040, 0.4413)  2 Ni 2.47, 2 Zn 2.71
Ti (0.5000, 0.4413, 0.2960)  2 Ni 2.47, 2 Zn 2.71
Ti (0.5000, 0.0587, 0.7960)  2 Ni 2.47, 2 Zn 2.71

---

Entry from Alexandria via LeMat-Bulk: crystalline ZrTiZnNi at its relaxed geometry (GGA-PBE).

**E_tot**: -0.447 Ry per atom
**ρ**: 6.69 g/cm³

a b c (Å): 4.5214 4.5214 4.5214
angles (deg): 60.00 60.00 60.00
Closest atoms and distances in Å follow each position.
Fractional coordinates of all 4 atoms:
Zn (0.0000, 0.0000, 0.0000)  4 Zr 2.77, 4 Ti 2.77
Ti (0.2500, 0.2500, 0.2500)  4 Ni 2.77, 4 Zn 2.77
Zr (0.7500, 0.7500, 0.7500)  4 Ni 2.77, 4 Zn 2.77
Ni (0.5000, 0.5000, 0.5000)  4 Ti 2.77, 4 Zr 2.77

---

Entry from Alexandria via LeMat-Bulk: crystalline ZrTi2Ni at its relaxed geometry (GGA-PBE).

**E_tot**: -0.569 Ry per atom
**ρ**: 5.95 g/cm³
**Excess energy over the best structure of this formula in the dataset**: 0.0 meV/atom

a b c (Å): 4.1536 5.4800 6.5071
angles (deg): 90.00 90.00 112.27
Closest atoms and distances in Å follow each position.
Fractional coordinates of all 8 atoms:
Zr (0.9449, 0.8896, 0.2500)  1 Ni 2.73, 4 Ti 2.93-2.94
Zr (0.0551, 0.1104, 0.7500)  1 Ni 2.73, 4 Ti 2.93-2.94
Ni (0.7860, 0.5723, 0.7500)  6 Ti 2.39-2.60
Ni (0.2140, 0.4277, 0.2500)  6 Ti 2.39-2.60
Ti (0.6409, 0.2819, 0.4607)  3 Ni 2.39-2.60
Ti (0.3591, 0.7181, 0.5393)  3 Ni 2.39-2.60
Ti (0.3591, 0.7181, 0.9607)  3 Ni 2.39-2.60
Ti (0.6409, 0.2819, 0.0393)  3 Ni 2.39-2.60

---

Entry from Alexandria via LeMat-Bulk: crystalline ZrTi2Ni9 at its relaxed geometry (GGA-PBE).

**E_tot**: -0.501 Ry per atom
**ρ**: 8.07 g/cm³
**Excess energy over the best structure of this formula in the dataset**: 0.9 meV/atom

a b c (Å): 7.0015 7.0015 7.0015
angles (deg): 43.44 43.44 43.44
Closest atoms and distances in Å follow each position.
Fractional coordinates of all 12 atoms:
Ti (0.2190, 0.2190, 0.2190)  12 Ni 2.56-2.64
Ti (0.7810, 0.7810, 0.7810)  12 Ni 2.56-2.64
Ni (0.2358, 0.7137, 0.7137)  8 Ni 2.48-2.71, 3 Ti 2.56-2.59, 1 Zr 2.64
Ni (0.7137, 0.7137, 0.2358)  8 Ni 2.48-2.71, 3 Ti 2.56-2.59, 1 Zr 2.64
Ni (0.2863, 0.7642, 0.2863)  8 Ni 2.48-2.71, 3 Ti 2.56-2.59, 1 Zr 2.64
Ni (0.2863, 0.2863, 0.7642)  8 Ni 2.48-2.71, 3 Ti 2.56-2.59, 1 Zr 2.64
Ni (0.5000, 0.5000, 0.0000)  8 Ni 2.59, 2 Zr 2.59, 2 Ti 2.64
Ni (0.7137, 0.2358, 0.7137)  8 Ni 2.48-2.71, 3 Ti 2.56-2.59, 1 Zr 2.64
Ni (0.7642, 0.2863, 0.2863)  8 Ni 2.48-2.71, 3 Ti 2.56-2.59, 1 Zr 2.64
Ni (0.0000, 0.5000, 0.5000)  8 Ni 2.59, 2 Zr 2.59, 2 Ti 2.64
Ni (0.5000, 0.0000, 0.5000)  8 Ni 2.59, 2 Zr 2.59, 2 Ti 2.64
Zr (0.0000, 0.0000, 0.0000)  12 Ni 2.59-2.64

---

Q: Among the records above, which one has the lowest E_tot?
A: ZrTi2Ni

---

Q: The lowest ρ belongs to which entry?
A: Zr2Ti5ZnNi2

---

Q: Which value of E_tot does entry 2 give?
A: -0.447 Ry per atom

---

Q: The highest ρ belongs to which entry?
A: ZrTi2Ni9